1.
CaIn2Os: relaxed, PBE.

## Properties
E = -4.3900 eV per atom
energy relative to the elements = 287 meV per atom

Cell: 4.104 4.557 9.116 Å, 90.00 90.00 90.00°
Atoms (fractional coordinates):
Ca: 0.000 0.000 0.000
Ca: 0.500 0.500 0.500
In: 0.000 0.000 0.525
In: 0.000 0.500 0.763
In: 0.500 0.000 0.263
In: 0.500 0.500 0.025
Os: 0.000 0.500 0.246
Os: 0.500 0.000 0.746

---

2.
Ca2InOs: relaxed, PBE.

## Properties
E = -4.3194 eV per atom
energy relative to the elements = 173 meV per atom

Cell: 4.572 3.993 11.418 Å, 90.00 90.00 90.00°
Atoms (fractional coordinates):
Ca: 0.000 0.000 0.000
Ca: 0.000 0.500 0.500
Ca: 0.500 0.000 0.297
Ca: 0.500 0.500 0.797
In: 0.500 0.000 0.587
In: 0.500 0.500 0.087
Os: 0.000 0.000 0.710
Os: 0.000 0.500 0.210

---

3.
CaIn2Os: relaxed, PBE.

## Properties
E = -4.5532 eV per atom
energy relative to the elements = 124 meV per atom

Cell: 6.872 6.872 6.872 Å, 90.00 90.00 90.00°
Atoms (fractional coordinates):
Ca: 0.000 0.000 0.000
Ca: 0.000 0.500 0.500
Ca: 0.500 0.000 0.500
Ca: 0.500 0.500 0.000
In: 0.250 0.250 0.250
In: 0.250 0.250 0.750
In: 0.250 0.750 0.250
In: 0.250 0.750 0.750
In: 0.750 0.250 0.250
In: 0.750 0.250 0.750
In: 0.750 0.750 0.250
In: 0.750 0.750 0.750
Os: 0.000 0.000 0.500
Os: 0.000 0.500 0.000
Os: 0.500 0.000 0.000
Os: 0.500 0.500 0.500

---

4.
CaInOs2: relaxed, PBE.

## Properties
E = -6.0543 eV per atom
energy relative to the elements = 746 meV per atom

Cell: 2.991 2.991 28.053 Å, 90.00 90.00 120.00°
Atoms (fractional coordinates):
Ca: 0.000 0.000 0.000
Ca: 0.333 0.667 0.667
Ca: 0.667 0.333 0.333
In: 0.000 0.000 0.500
In: 0.333 0.667 0.167
In: 0.667 0.333 0.833
Os: 0.000 0.000 0.246
Os: 0.000 0.000 0.754
Os: 0.333 0.667 0.421
Os: 0.333 0.667 0.913
Os: 0.667 0.333 0.087
Os: 0.667 0.333 0.579

---

- The highest energy relative to the elements belongs to which entry?
  CaInOs2